VASP calculation (PBE) on a geometry-optimized BaSrCuSb2 structure.

The structure in extended XYZ format:
```
10
Lattice="-7.951 2.636 3.948 6.532 -6.401 -1.456 3.983 2.641 6.259" Properties=species:S:1:pos:R:3 pbc="T T T"
Sb 8.321 -2.400 5.607
Sb 0.681 0.190 5.169
Sb 0.477 -2.246 1.372
Sb -3.780 2.587 6.250
Sr -4.488 4.513 8.756
Sr 7.352 -5.438 0.465
Cu 2.223 -1.532 3.446
Cu 1.738 1.334 7.499
Ba 5.772 -2.948 3.328
Ba -4.554 0.932 3.308
```

Summary:
space group: Cmc2_1

***

VASP calculation (PBE) on a geometry-optimized BaSrCu2Sb2 structure.

The structure in extended XYZ format:
```
6
Lattice="4.574 0.000 0.000 -2.287 3.961 0.000 0.000 0.000 9.060" Properties=species:S:1:pos:R:3 pbc="T T T"
Sb 0.000 2.641 2.372
Sb 2.287 1.320 6.688
Sr 0.000 0.000 4.530
Cu 2.287 1.320 2.412
Cu 0.000 2.641 6.648
Ba 0.000 0.000 0.000
```

Summary:
space group: P-3m1

***

Number 1: final energy -3.818 eV/atom. Number 2: final energy -3.919 eV/atom.